An optimized crystal structure of TbPb2Se4, computed with GGA-PBE.

The structure in CIF format:
```
data_TbPb2Se4
_chemical_formula_sum 'Tb4 Pb8 Se16'
_cell_length_a 4.121
_cell_length_b 14.239
_cell_length_c 13.783
_cell_angle_alpha 90.00
_cell_angle_beta 90.00
_cell_angle_gamma 90.00
_space_group_name_H-M_alt 'C m c m'
_space_group_IT_number 63
_space_group_name_Hall '-C 2c 2'
loop_
_atom_site_label
_atom_site_type_symbol
_atom_site_fract_x
_atom_site_fract_y
_atom_site_fract_z
Tb1 Tb 0.000 0.106 0.250
Pb1 Pb 0.000 0.366 0.064
Se1 Se 0.000 0.000 0.000
Se2 Se 0.000 0.289 0.638
Se3 Se 0.000 0.465 0.250
```

total DFT energy (no corrections) = -4.585 eV/atom
total magnetization = 0.0 μB per cell
energy relative to the elements, uncorrected = -873 meV/atom
mass density = 7.3 g/cm³